# 1
The following is a SCAN calculation of a PBEsol-optimized structure of RuRh2Se, from the Alexandria database.

The structure in POSCAR format:
```
RuRh2Se
1.0
2.811 0.000 0.000
0.000 4.614 -0.001
0.000 -1.560 4.342
Rh Se Ru
2 1 1
Direct
0.000 0.500 0.000
0.000 0.000 0.500
0.500 0.500 0.500
0.500 0.000 0.000
```

- energy relative to the elements, uncorrected (eV per atom) = 0.2429
- density of states at the Fermi level (states/eV/atom) = 0.787
- DFT total energy (eV per atom) = -30.369
- crystal system = orthorhombic



# 2
The following is a SCAN calculation of a PBEsol-optimized structure of RuRh2Se, from the Alexandria database.

The structure in POSCAR format:
```
RuRh2Se
1.0
2.810 0.000 0.000
0.000 4.490 0.000
0.000 0.000 4.486
Se Rh Ru
1 2 1
Direct
0.000 0.500 0.500
0.000 0.000 0.000
0.500 0.000 0.500
0.500 0.500 0.000
```

- energy relative to the elements, uncorrected (eV per atom) = 0.3157
- density of states at the Fermi level (states/eV/atom) = 0.926
- DFT total energy (eV per atom) = -30.296
- crystal system = orthorhombic



# 3
The following is a SCAN calculation of a PBEsol-optimized structure of Ru2RhSe, from the Alexandria database.

The structure in POSCAR format:
```
Ru2RhSe
1.0
2.815 0.000 0.000
0.000 3.894 0.000
-1.407 0.000 5.125
Ru Se Rh
2 1 1
Direct
0.059 0.000 0.117
0.444 0.500 0.888
0.296 0.000 0.592
0.696 0.500 0.393
```

- energy relative to the elements, uncorrected (eV per atom) = 0.2262
- density of states at the Fermi level (states/eV/atom) = 0.774
- DFT total energy (eV per atom) = -30.649
- crystal system = orthorhombic



# 4
The following is a SCAN calculation of a PBEsol-optimized structure of RuRhSe2, from the Alexandria database.

The structure in POSCAR format:
```
RuRhSe2
1.0
-0.834 -2.561 -1.410
1.993 -1.494 -1.743
2.627 -5.402 4.984
Ru Rh Se
1 1 2
Direct
0.000 0.000 0.000
0.500 0.500 0.500
0.749 0.749 0.754
0.251 0.251 0.246
```

- energy relative to the elements, uncorrected (eV per atom) = 0.1438
- density of states at the Fermi level (states/eV/atom) = 0.917
- DFT total energy (eV per atom) = -27.045
- crystal system = trigonal



# 5
The following is a SCAN calculation of a PBEsol-optimized structure of SiRuRh2, from the Alexandria database.

The structure in POSCAR format:
```
SiRuRh2
1.0
3.743 0.000 0.000
0.000 3.743 0.000
-1.872 -1.872 3.717
Si Rh Ru
1 2 1
Direct
0.000 0.000 0.000
0.250 0.750 0.500
0.750 0.250 0.500
0.500 0.500 0.000
```

- energy relative to the elements, uncorrected (eV per atom) = -0.3766
- density of states at the Fermi level (states/eV/atom) = 0.370
- DFT total energy (eV per atom) = -28.473
- crystal system = tetragonal



# 6
The following is a SCAN calculation of a PBEsol-optimized structure of Si2RuRh, from the Alexandria database.

The structure in POSCAR format:
```
Si2RuRh
1.0
2.822 0.000 0.000
-1.411 3.855 0.011
0.000 -1.047 4.754
Si Rh Ru
2 1 1
Direct
0.251 0.503 0.257
0.749 0.497 0.743
0.500 0.000 0.000
0.000 0.000 0.500
```

- energy relative to the elements, uncorrected (eV per atom) = -0.5606
- density of states at the Fermi level (states/eV/atom) = 0.480
- DFT total energy (eV per atom) = -22.718
- crystal system = monoclinic



# 7
The following is a SCAN calculation of a PBEsol-optimized structure of SiRuRh2, from the Alexandria database.

The structure in POSCAR format:
```
SiRuRh2
1.0
2.911 0.000 0.000
0.000 4.219 0.000
-1.455 -2.110 4.261
Rh Ru Si
2 1 1
Direct
0.280 0.280 0.560
0.720 0.720 0.440
0.500 0.000 0.000
0.000 0.500 0.000
```

- energy relative to the elements, uncorrected (eV per atom) = -0.3629
- density of states at the Fermi level (states/eV/atom) = 1.170
- DFT total energy (eV per atom) = -28.459
- crystal system = orthorhombic



# 8
The following is a SCAN calculation of a PBEsol-optimized structure of Si2RuRh, from the Alexandria database.

The structure in POSCAR format:
```
Si2RuRh
1.0
2.864 0.000 0.000
0.000 4.183 -0.012
-1.432 -1.059 4.233
Si Ru Rh
2 1 1
Direct
0.002 0.065 0.003
0.251 0.689 0.502
0.738 0.173 0.475
0.510 0.573 0.020
```

- energy relative to the elements, uncorrected (eV per atom) = -0.7634
- density of states at the Fermi level (states/eV/atom) = 0.276
- DFT total energy (eV per atom) = -22.921
- crystal system = monoclinic